[1]
# Ti4MnBe

Crystalline Ti4MnBe at its relaxed geometry (PBE, Alexandria via LeMat-Bulk).

Structure (POSCAR):
```
Ti4MnBe
1.0
-3.2205 0.6348 2.8463
-4.1356 -0.5205 -1.2473
-2.2120 -5.6927 2.0826
Ti Mn Be
4 1 1
Direct
0.6361 0.6364 0.0913 Ti
0.3639 0.3636 0.9087 Ti
0.1235 0.1229 0.6300 Ti
0.8765 0.8771 0.3700 Ti
0.0000 0.0000 0.0000 Mn
0.5000 0.5000 0.5000 Be
```

ΔE_f in meV/atom: 268
Symmetry: No. 12

***

[2]
# Na5Bi4

Crystalline Na5Bi4 at its relaxed geometry (PBE, Alexandria via LeMat-Bulk).

Structure (POSCAR):
```
Na5Bi4
1.0
5.3052 0.0000 0.0000
2.6526 4.9676 0.8219
2.6526 3.0481 11.2796
Na Bi
5 4
Direct
0.0243 0.2777 0.6736 Na
0.9757 0.7223 0.3264 Na
0.7024 0.7584 0.8369 Na
0.2976 0.2416 0.1631 Na
0.0000 0.0000 0.0000 Na
0.3833 0.3948 0.8385 Bi
0.6167 0.6052 0.1615 Bi
0.3416 0.7749 0.5419 Bi
0.6584 0.2251 0.4581 Bi
```

ΔE_f in meV/atom: -282
Symmetry: No. 12

***

Computed DFT total energy, in the same sequence as the records: -7.144, -2.739 eV per atom.